Entry 1:
A relaxed ScAlRu2 crystal, computed with GGA-PBEsol.

The value obtained for the formation energy is -192 kJ/mol of formula units. The total energy comes out at -33.03 eV for the cell shown. As for the size of the total moment: 0.0 μB per formula unit. The calculation puts the volume at 58.93 Å³/f.u. The calculation puts the density of states at the Fermi level at 1.79 states/eV per cell.

Geometry as POSCAR:
```
ScAlRu2
1.0
-1.186 2.654 0.931
-3.702 -1.050 -1.724
1.164 -2.755 4.335
Ru Sc Al
2 1 1
Cartesian
-0.007 -0.011 0.022
-1.202 0.397 2.340
-1.263 -1.928 3.888
-2.531 -1.563 1.232
```

Entry 2:
A relaxed CoMoRu2 crystal, computed with GGA-PBEsol.

The value obtained for the formation energy is 13 kJ/mol of formula units. The total energy comes out at -39.72 eV for the cell shown. As for the energy above the lowest structure with this stoichiometry: 0.150 eV per formula unit. As for the size of the total moment: 0.0 μB per formula unit. The calculation puts the volume at 51.74 Å³/f.u. The calculation puts the density of states at the Fermi level at 3.46 states/eV per cell.

Geometry as POSCAR:
```
CoMoRu2
1.0
3.722 0.000 0.000
0.000 3.722 0.000
-1.861 -1.861 3.735
Mo Co Ru
1 1 2
Cartesian
1.861 0.000 1.867
0.000 0.000 0.000
1.861 1.861 0.000
0.000 1.861 1.867
```

Entry 3:
A relaxed KGe2RhI crystal, computed with GGA-PBEsol.

The total energy comes out at -12.64 eV for the cell shown. As for the size of the total moment: 0.0 μB per formula unit. The calculation puts the volume at 140.04 Å³/f.u. The energy relative to the elements, uncorrected is 1.656 eV/atom. The calculation puts the density of states at the Fermi level at 4.74 states/eV per cell.

Geometry as POSCAR:
```
KGe2RhI
1.0
-2.730 -3.560 0.998
0.201 -1.632 -5.270
4.436 -3.087 1.125
K Ge I Rh
1 2 1 1
Cartesian
0.000 0.000 0.000
2.218 -1.543 0.562
0.100 -0.816 -2.635
0.953 -4.139 -1.573
-1.365 -1.780 0.499
```

Entry 4:
A relaxed LaZrPb2 crystal, computed with GGA-PBEsol.

The value obtained for the formation energy is -145 kJ/mol of formula units. The total energy comes out at -23.94 eV for the cell shown. As for the size of the total moment: 0.0 μB per formula unit. The calculation puts the volume at 104.21 Å³/f.u. The calculation puts the density of states at the Fermi level at 2.94 states/eV per cell.

Geometry as POSCAR:
```
LaZrPb2
1.0
3.387 0.000 0.080
0.000 4.383 0.000
-0.337 0.000 7.012
La Zr Pb
1 1 2
Cartesian
1.525 2.192 3.546
1.693 2.192 0.040
-0.258 0.000 5.445
3.308 0.000 1.647
```

Entry 5:
A relaxed Be2CdOs crystal, computed with GGA-PBEsol.

The value obtained for the formation energy is 73 kJ/mol of formula units. The total energy comes out at -20.65 eV for the cell shown. As for the size of the total moment: 0.0 μB per formula unit. The calculation puts the volume at 48.03 Å³/f.u. The calculation puts the density of states at the Fermi level at 1.70 states/eV per cell.

Geometry as POSCAR:
```
Be2CdOs
1.0
-2.698 -0.328 1.367
1.615 -1.522 2.823
1.814 4.118 1.183
Be Cd Os
2 1 1
Cartesian
0.866 -0.263 1.646
0.190 1.621 0.765
0.438 3.729 1.760
-0.298 1.149 3.073
```

Entry 6:
A relaxed RbTe2O crystal, computed with GGA-PBEsol.

The total energy comes out at -14.00 eV for the cell shown. As for the size of the total moment: 0.0 μB per formula unit. The calculation puts the volume at 185.07 Å³/f.u. The energy relative to the elements, uncorrected is -0.169 eV/atom. The calculation puts the density of states at the Fermi level at 3.34 states/eV per cell.

Geometry as POSCAR:
```
RbTe2O
1.0
-4.421 2.850 -2.776
-5.418 -2.440 -0.247
-4.754 2.888 4.165
Rb O Te
1 1 2
Cartesian
-7.297 1.649 0.571
0.000 0.000 0.000
-4.274 1.992 2.481
-10.319 1.306 -1.339
```